# Tm2MoO6 | the Alexandria database | meta-GGA SCAN | PBEsol geometry
data_Tm2MoO6
_chemical_formula_sum 'Tm16 Mo8 O48'
_symmetry_space_group_name_H-M 'C 1 2/c 1'
_symmetry_Int_Tables_number 15
_cell_length_a 16.0710
_cell_length_b 10.7993
_cell_length_c 5.2406
_cell_angle_alpha 90.00
_cell_angle_beta 108.22
_cell_angle_gamma 90.00
loop_
_symmetry_equiv_pos_as_xyz
'x,y,z'
'-x,-y,-z'
'-x,y,-z+1/2'
'x,-y,z+1/2'
'x+1/2,y+1/2,z'
'-x+1/2,-y+1/2,-z'
'-x+1/2,y+1/2,-z+1/2'
'x+1/2,-y+1/2,z+1/2'
loop_
_atom_site_label
_atom_site_fract_x
_atom_site_fract_y
_atom_site_fract_z
Tm1 0.0000 0.1061 0.2500
Tm2 0.0000 0.3636 0.7500
Tm3 0.1672 0.1165 0.8777
Mo1 0.1547 0.3589 0.4360
O1 0.0721 0.2347 0.5802
O2 0.0794 0.4702 0.4864
O3 0.0910 0.0183 0.0783
O4 0.1051 0.2789 0.1221
O5 0.2295 0.2950 0.7442
O6 0.2377 0.4496 0.3607
# E_form (uncorrected)	-3.273	eV per atom
# crystal system	monoclinic
# magnetic moment	0.000	μB per formula unit
# uncorrected energy	-22.82	eV/atom